[1]
Computed, not measured: a relaxed Zn2InGa2 crystal at the GGA-PBE level of DFT.

Lattice parameters (Å, degrees): 6.651 6.651 6.651 144.74 144.74 50.72
Element x y z (fractional)
Zn1 0.103 0.103 0.000
Zn2 0.897 0.897 0.000
In1 0.500 0.500 0.000
Ga1 0.250 0.750 0.500
Ga2 0.750 0.250 0.500

N(E_F): 0.318 states/eV/atom
SG: I4/mmm
Calculated formation energy: 34 meV per atom

[2]
Computed, not measured: a relaxed MgTeOs2 crystal at the GGA-PBE level of DFT.

Lattice parameters (Å, degrees): 2.945 2.988 8.635 90.00 90.10 90.00
Element x y z (fractional)
Mg1 0.000 0.000 0.000
Te1 0.003 0.500 0.672
Os1 0.001 0.000 0.394
Os2 0.501 0.500 0.214

N(E_F): 0.917 states/eV/atom
Formation energy from raw total energies: 0.2675 eV per atom
SG: Pm

no.,energy above the most stable polymorph in this dataset (meV/atom)
1,0.0
2,0.0